Here is an optimized crystal structure of MgAsPb4 from Alexandria. Energies are from PBE.

Unit cell a=6.4119 b=6.4119 c=6.4119 alpha=60.00 beta=60.00 gamma=60.00
With the nearest neighbours (Å) after each atom.
Sites, in units of the cell vectors:
Pb: 0.3746 0.8761 0.3746  6 Pb 3.20-3.22
Pb: 0.3746 0.3746 0.8761  6 Pb 3.20-3.22
Pb: 0.8761 0.3746 0.3746  6 Pb 3.20-3.22
As: 0.7500 0.7500 0.7500  12 Pb 3.76, 4 Mg 3.93
Pb: 0.3746 0.3746 0.3746  6 Pb 3.20-3.22
Mg: 0.0000 0.0000 0.0000  12 Pb 3.76, 4 As 3.93

Computed properties:
Calculated formation energy, eV/atom: 0.372
E_tot, eV per cell: -18.848



Here is an optimized crystal structure of Ba2PmCdHg6 from Alexandria. Energies are from PBE.

Unit cell a=8.0999 b=8.0999 c=8.0999 alpha=60.00 beta=60.00 gamma=90.00
With the nearest neighbours (Å) after each atom.
Sites, in units of the cell vectors:
Hg: 0.2433 0.2433 0.5133  1 Cd 2.79, 1 Pm 2.94
Hg: 0.7567 0.7567 0.4867  1 Cd 2.79, 1 Pm 2.94
Hg: 0.2433 0.2433 0.0000  1 Cd 2.79, 1 Pm 2.94
Hg: 0.7567 0.7567 0.0000  1 Cd 2.79, 1 Pm 2.94
Hg: 0.2433 0.7567 0.0000  1 Cd 2.79, 1 Pm 2.94
Pm: 0.5000 0.5000 0.0000  6 Hg 2.94
Cd: 0.0000 0.0000 0.0000  6 Hg 2.79
Hg: 0.7567 0.2433 0.0000  1 Cd 2.79, 1 Pm 2.94
Ba: 0.2500 0.7500 0.5000  12 Hg 4.05
Ba: 0.7500 0.2500 0.5000  12 Hg 4.05

Computed properties:
Calculated formation energy, eV/atom: -0.185
E_tot, eV per cell: -13.176



Here is an optimized crystal structure of PmPr2Zn from Alexandria. Energies are from PBE.

Unit cell a=4.8746 b=4.9148 c=4.9148 alpha=90.00 beta=90.00 gamma=90.00
With the nearest neighbours (Å) after each atom.
Sites, in units of the cell vectors:
Pr: 0.0000 0.5000 0.0000  4 Pm 3.46, 4 Zn 3.46, 4 Pr 3.48
Zn: 0.5000 0.0000 0.0000  8 Pr 3.46, 4 Pm 3.48
Pr: 0.0000 0.0000 0.5000  4 Pm 3.46, 4 Zn 3.46, 4 Pr 3.48
Pm: 0.5000 0.5000 0.5000  8 Pr 3.46, 4 Zn 3.48

Computed properties:
Calculated formation energy, eV/atom: -0.038
E_tot, eV per cell: -15.734
Polymorph energy (0 for the lowest one), meV per atom: 111